Model a:
## P2RhAuO (GGA-PBE)

Data for a relaxed structure of P2RhAuO.

Cell lengths 4.808, 4.808, 3.846 Å; angles 90.00, 90.00, 90.00 degrees
Positions (direct):
1 P 0.000 0.500 0.000
2 P 0.500 0.000 0.000
3 Rh 0.000 0.000 0.500
4 Au 0.500 0.500 0.000
5 O 0.500 0.500 0.500

Summary:
D(E_F): 1.160 states/eV per atom
magnetization: 0.0000 μB per atom
calculated volume: 17.78 Å³ per atom
density: 7.1 Mg/m³



Model b:
## P2RhAuO (GGA-PBE)

Data for a relaxed structure of P2RhAuO.

Cell lengths 4.784, 4.784, 3.666 Å; angles 90.00, 90.00, 90.00 degrees
Positions (direct):
1 P 0.000 0.500 0.000
2 P 0.500 0.000 0.000
3 Rh 0.000 0.000 0.000
4 Au 0.500 0.500 0.500
5 O 0.000 0.000 0.500

Summary:
D(E_F): 0.597 states/eV per atom
magnetization: 0.0000 μB per atom
calculated volume: 16.78 Å³ per atom
density: 7.5 Mg/m³



Question: of the structures shown, which is the least stable? Reply: model a.